# Er8RuRh2

Crystalline Er8RuRh2 at its relaxed geometry (PBE, Alexandria).

a b c (Å): 7.5165 7.5165 5.8179
angles (deg): 100.60 100.60 114.32
Sites, in units of the cell vectors:
Er1 0.0000 0.0000 0.0000
Er2 0.0234 0.2766 0.5747
Er3 0.1421 0.5647 0.1768
Er4 0.2766 0.0234 0.5747
Er5 0.4392 0.6921 0.7676
Er6 0.5647 0.1421 0.1768
Er7 0.6921 0.4392 0.7676
Er8 0.7153 0.7153 0.3586
Ru1 0.3567 0.3567 0.3005
Rh1 0.0534 0.6700 0.6816
Rh2 0.6700 0.0534 0.6816

magnetization	0.0	μB/f.u.
DFT formation energy	-0.399	eV per atom
ρ	9.69	Mg/m³
E above lowest polymorph	61	meV/atom